Here is an optimized crystal structure of Li3PrV4O12 from the Alexandria database. Energies are from GGA+U.

symmetry	No. 155
raw total energy	-0.498	Ry per atom

Unit cell a=6.815 b=6.815 c=6.815 alpha=108.84 beta=108.84 gamma=108.84
Element x y z (fractional)
Li: 0.000 0.564 0.436
Li: 0.436 0.000 0.564
Li: 0.564 0.436 0.000
Pr: 0.000 0.000 0.000
V: 0.061 0.500 0.939
V: 0.500 0.500 0.500
V: 0.500 0.939 0.061
V: 0.939 0.061 0.500
O: 0.076 0.671 0.789
O: 0.088 0.912 0.500
O: 0.211 0.329 0.924
O: 0.329 0.924 0.211
O: 0.345 0.655 0.500
O: 0.500 0.088 0.912
O: 0.500 0.345 0.655
O: 0.655 0.500 0.345
O: 0.671 0.789 0.076
O: 0.789 0.076 0.671
O: 0.912 0.500 0.088
O: 0.924 0.211 0.329



Here is an optimized crystal structure of Li2PrWO6 from the Alexandria database. Energies are from GGA+U.

symmetry	No. 146
raw total energy	-0.497	Ry per atom

Unit cell a=5.830 b=5.830 c=5.830 alpha=55.14 beta=55.14 gamma=55.14
Element x y z (fractional)
Li: 0.000 0.000 0.000
Li: 0.491 0.491 0.491
Pr: 0.217 0.217 0.217
W: 0.707 0.707 0.707
O: 0.072 0.458 0.780
O: 0.322 0.876 0.651
O: 0.458 0.780 0.072
O: 0.651 0.322 0.876
O: 0.780 0.072 0.458
O: 0.876 0.651 0.322